# 1
Pm3NbGe4 GGA-PBE relaxed; ΔH_f (0 K) = -50.32 kJ/mol of atoms; raw total energy = -5.870 eV per atom
1.0
5.792 0.000 0.000
0.000 11.648 0.000
0.000 0.000 5.792
Pm Nb Ge
6 2 8
Direct
0.250 0.000 0.250 Pm
0.250 0.250 0.749 Pm
0.250 0.500 0.250 Pm
0.750 0.000 0.750 Pm
0.750 0.500 0.750 Pm
0.750 0.750 0.251 Pm
0.250 0.750 0.750 Nb
0.750 0.250 0.250 Nb
0.250 0.250 0.249 Ge
0.250 0.521 0.750 Ge
0.250 0.750 0.250 Ge
0.250 0.979 0.750 Ge
0.750 0.021 0.250 Ge
0.750 0.250 0.750 Ge
0.750 0.479 0.250 Ge
0.750 0.750 0.751 Ge

***

# 2
BaNi2Br GGA-PBE relaxed; ΔE to the lowest computed polymorph = 0.649 eV/atom; raw formation energy = 46.5 kJ/mol of atoms; raw total energy = -3.307 eV per atom
1.0
0.000 3.505 3.505
3.505 0.000 3.505
3.505 3.505 0.000
Ba Ni Br
1 2 1
Direct
0.000 0.000 0.000 Ba
0.250 0.250 0.250 Ni
0.750 0.750 0.750 Ni
0.500 0.500 0.500 Br

***

# 3
KAg6Sb4 GGA-PBE relaxed; raw formation energy = 7.5 kJ/mol of atoms; raw total energy = -3.076 eV per atom
1.0
-3.642 3.642 5.243
3.642 -3.642 5.243
3.642 3.642 -5.243
K Ag Sb
1 6 4
Direct
0.000 0.000 0.000 K
0.000 0.500 0.500 Ag
0.243 0.569 0.000 Ag
0.431 0.431 0.674 Ag
0.500 0.000 0.500 Ag
0.569 0.243 0.000 Ag
0.757 0.757 0.326 Ag
0.116 0.116 0.580 Sb
0.464 0.884 0.000 Sb
0.536 0.536 0.420 Sb
0.884 0.464 0.000 Sb

***

# 4
RbTiTl3 GGA-PBE relaxed; ΔH_f (0 K) = 15.45 kJ/mol of atoms; ΔE to the lowest computed polymorph = 0.000 eV/atom; raw total energy = -3.032 eV per atom
1.0
5.579 0.000 0.000
0.000 5.579 0.000
0.000 0.000 5.579
Rb Ti Tl
1 1 3
Direct
0.000 0.000 0.000 Rb
0.500 0.500 0.500 Ti
0.000 0.500 0.500 Tl
0.500 0.000 0.500 Tl
0.500 0.500 0.000 Tl

***

# 5
AcHoScTl GGA-PBE relaxed; ΔH_f (0 K) = 7.85 kJ/mol of atoms; raw total energy = -4.265 eV per atom
1.0
0.000 3.891 3.891
3.891 0.000 3.891
3.891 3.891 0.000
Ac Ho Sc Tl
1 1 1 1
Direct
0.000 0.000 0.000 Ac
0.750 0.750 0.750 Ho
0.250 0.250 0.250 Sc
0.500 0.500 0.500 Tl

***

# 6
CdSi2Hg GGA-PBE relaxed; ΔE to the lowest computed polymorph = 0.078 eV/atom; raw formation energy = 28.1 kJ/mol of atoms; raw total energy = -2.724 eV per atom
1.0
2.938 0.000 0.000
0.000 3.856 0.000
-0.399 0.000 8.045
Cd Si Hg
1 2 1
Direct
0.000 0.000 0.000 Cd
0.429 0.000 0.710 Si
0.455 0.500 0.546 Si
0.571 0.500 0.229 Hg

***

# 7
Cu2ReSb GGA-PBE relaxed; raw formation energy = 44.8 kJ/mol of atoms; raw total energy = -5.726 eV per atom
1.0
2.784 0.000 0.000
0.000 4.621 0.000
0.000 0.000 4.824
Cu Re Sb
2 1 1
Direct
0.000 0.000 0.000 Cu
0.000 0.500 0.290 Cu
0.500 0.500 0.814 Re
0.500 0.000 0.504 Sb

***

# 8
BeFe2Ag GGA-PBE relaxed; ΔH_f (0 K) = 17.28 kJ/mol of atoms; raw total energy = -5.697 eV per atom
1.0
2.667 0.000 0.000
0.000 2.667 0.000
0.000 0.000 6.590
Be Fe Ag
1 2 1
Direct
0.000 0.000 0.000 Be
0.000 0.000 0.421 Fe
0.500 0.500 0.196 Fe
0.500 0.500 0.740 Ag